Entry 1:
Material: KZn2Ag
Method: DFT, PBE-GGA
State: relaxed

a = 4.6148 Å, b = 4.6148 Å, c = 6.5771 Å
α = 69.86°, β = 69.86°, γ = 58.16°
Element x y z (fractional)
Zn 0.4352 0.4352 0.7020
Ag 0.7500 0.7500 0.7500
Zn 0.0648 0.0648 0.7980
K 0.2500 0.2500 0.2500

Computed properties:
space-group type = C2/m, No. 12

Entry 2:
Material: K2ZnAg2
Method: DFT, PBE-GGA
State: relaxed

a = 7.2713 Å, b = 7.2713 Å, c = 5.4466 Å
α = 90.00°, β = 90.00°, γ = 90.00°
Element x y z (fractional)
Zn 0.0000 0.0000 0.0000
Ag 0.1390 0.3610 0.0000
K 0.3239 0.1761 0.5000
Zn 0.5000 0.5000 0.0000
K 0.6761 0.8239 0.5000
K 0.8239 0.3239 0.5000
Ag 0.3610 0.8610 0.0000
K 0.1761 0.6761 0.5000
Ag 0.6390 0.1390 0.0000
Ag 0.8610 0.6390 0.0000

Computed properties:
space-group type = P4/mbm, No. 127

Number 1: E_tot -6.602 eV/cell, ΔE_f -0.1 eV per formula unit, calculated volume 27.34 Å³/atom. Number 2: E_tot -17.354 eV/cell, ΔE_f 0.5 eV per formula unit, calculated volume 28.80 Å³/atom.